# 1
A geometry-optimized FeNiIr2 structure. Source: Alexandria via LeMat-Bulk, functional GGA-PBE.

```
FeNiIr2
1.0
3.796 0.000 0.000
0.000 3.796 0.000
0.000 0.000 3.620
Fe Ni Ir
1 1 2
direct
0.000 0.000 0.000
0.500 0.500 0.000
0.000 0.500 0.500
0.500 0.000 0.500
```

Results
Theoretical density = 15.9 g cm⁻³
Size of the total moment = 3.31 μB per cell
Energy relative to the elements = -0.022 eV per atom
E above lowest polymorph = 19.0 meV per atom
Calculated total energy = -32.05 eV for the cell shown


# 2
A geometry-optimized CsCdSb structure. Source: Alexandria via LeMat-Bulk, functional GGA-PBE.

```
CsCdSb
1.0
5.681 0.000 0.000
0.000 9.221 0.000
0.000 0.000 8.477
Cs Cd Sb
4 4 4
direct
0.000 0.000 0.000
0.000 0.500 0.168
0.500 0.000 0.668
0.500 0.500 0.500
0.000 0.155 0.434
0.000 0.845 0.434
0.500 0.345 0.934
0.500 0.655 0.934
0.000 0.340 0.738
0.000 0.660 0.738
0.500 0.160 0.238
0.500 0.840 0.238
```

Results
Formation energy from raw total energies = -266 meV/atom
Theoretical density = 5.5 g cm⁻³
Size of the total moment = 0.00 μB per cell
Calculated total energy = -26.76 eV for the cell shown


# 3
A geometry-optimized KBa2InO structure. Source: Alexandria via LeMat-Bulk, functional GGA-PBE.

```
KBa2InO
1.0
5.449 0.000 0.000
0.000 5.449 0.000
0.000 0.000 5.718
K Ba In O
1 2 1 1
direct
0.000 0.000 0.000
0.000 0.500 0.500
0.500 0.000 0.500
0.500 0.500 0.000
0.000 0.000 0.500
```

Results
Formation energy from raw total energies = -1008 meV/atom
Theoretical density = 4.3 g cm⁻³
Size of the total moment = 0.01 μB per cell
Calculated total energy = -17.68 eV for the cell shown


# 4
A geometry-optimized La2NdRuAu structure. Source: Alexandria via LeMat-Bulk, functional GGA-PBE.

```
La2NdRuAu
1.0
5.415 0.000 0.000
0.000 5.415 0.000
0.000 0.000 5.644
La Nd Ru Au
2 1 1 1
direct
0.000 0.500 0.000
0.500 0.000 0.000
0.000 0.000 0.534
0.000 0.000 0.050
0.500 0.500 0.678
```

Results
Theoretical density = 7.2 g cm⁻³
Size of the total moment = 0.00 μB per cell
Energy relative to the elements = -0.254 eV per atom
Calculated total energy = -28.45 eV for the cell shown


# 5
A geometry-optimized PaV4Pb structure. Source: Alexandria via LeMat-Bulk, functional GGA-PBE.

```
PaV4Pb
1.0
0.000 3.765 3.765
3.765 0.000 3.765
3.765 3.765 0.000
Pa V Pb
1 4 1
direct
0.000 0.000 0.000
0.370 0.370 0.370
0.370 0.370 0.890
0.370 0.890 0.370
0.890 0.370 0.370
0.750 0.750 0.750
```

Results
Theoretical density = 10.0 g cm⁻³
Size of the total moment = 0.00 μB per cell
Energy relative to the elements = 0.280 eV per atom
Calculated total energy = -48.00 eV for the cell shown


# 6
A geometry-optimized DyBeRhN structure. Source: Alexandria via LeMat-Bulk, functional GGA-PBE.

```
DyBeRhN
1.0
3.675 0.000 0.000
0.000 3.675 0.000
0.000 0.000 8.043
Dy Be Rh N
2 2 2 2
direct
0.250 0.250 0.156
0.750 0.750 0.844
0.250 0.250 0.675
0.750 0.750 0.325
0.250 0.750 0.500
0.750 0.250 0.500
0.250 0.250 0.872
0.750 0.750 0.128
```

Results
Formation energy from raw total energies = -1036 meV/atom
Theoretical density = 8.8 g cm⁻³
Size of the total moment = 0.00 μB per cell
Calculated total energy = -56.30 eV for the cell shown


# 7
A geometry-optimized KCu2Ni structure. Source: Alexandria via LeMat-Bulk, functional GGA-PBE.

```
KCu2Ni
1.0
4.056 0.000 0.000
0.000 4.056 0.000
0.000 0.000 8.195
K Cu Ni
2 4 2
direct
0.000 0.000 0.000
0.500 0.500 0.500
0.000 0.000 0.500
0.000 0.500 0.250
0.500 0.000 0.750
0.500 0.500 0.000
0.000 0.500 0.750
0.500 0.000 0.250
```

Results
Theoretical density = 5.5 g cm⁻³
Size of the total moment = 0.00 μB per cell
Energy relative to the elements = 0.830 eV per atom
E above lowest polymorph = 434.1 meV per atom
Calculated total energy = -23.50 eV for the cell shown


# 8
A geometry-optimized CaAgP2Pd5 structure. Source: Alexandria via LeMat-Bulk, functional GGA-PBE.

```
CaAgP2Pd5
1.0
4.240 0.000 0.000
0.000 4.240 0.000
0.000 0.000 8.337
Ca Ag P Pd
1 1 2 5
direct
0.000 0.000 0.000
0.000 0.000 0.500
0.500 0.500 0.370
0.500 0.500 0.630
0.000 0.500 0.251
0.000 0.500 0.749
0.500 0.000 0.251
0.500 0.000 0.749
0.500 0.500 0.000
```

Results
Theoretical density = 8.2 g cm⁻³
Size of the total moment = 0.00 μB per cell
Energy relative to the elements = -0.513 eV per atom
Calculated total energy = -46.25 eV for the cell shown


# 9
A geometry-optimized LiCuPO4 structure. Source: Alexandria via LeMat-Bulk, functional GGA-PBE.

```
LiCuPO4
1.0
2.708 -4.536 0.000
2.708 4.536 0.000
-2.524 0.000 7.581
Li Cu P O
2 2 2 8
direct
0.098 0.902 0.500
0.902 0.098 0.000
0.401 0.520 0.857
0.520 0.401 0.357
0.437 0.782 0.227
0.782 0.437 0.727
0.216 0.437 0.193
0.311 0.968 0.310
0.437 0.216 0.693
0.508 0.861 0.055
0.714 0.827 0.363
0.827 0.714 0.863
0.861 0.508 0.555
0.968 0.311 0.810
```

Results
Formation energy from raw total energies = -1792 meV/atom
Theoretical density = 3.0 g cm⁻³
Size of the total moment = 2.01 μB per cell
E above lowest polymorph = 14.5 meV per atom
Calculated total energy = -87.59 eV for the cell shown


# 10
A geometry-optimized NiAs2BrN structure. Source: Alexandria via LeMat-Bulk, functional GGA-PBE.

```
NiAs2BrN
1.0
4.538 0.000 0.000
0.000 4.538 0.000
0.000 0.000 5.238
Ni As Br N
1 2 1 1
direct
0.000 0.000 0.000
0.000 0.500 0.000
0.500 0.000 0.000
0.000 0.000 0.500
0.500 0.500 0.500
```

Results
Formation energy from raw total energies = 1309 meV/atom
Theoretical density = 4.7 g cm⁻³
Size of the total moment = 2.42 μB per cell
E above lowest polymorph = 167.2 meV per atom
Calculated total energy = -18.53 eV for the cell shown


# 11
A geometry-optimized Cu2TeRh structure. Source: Alexandria via LeMat-Bulk, functional GGA-PBE.

```
Cu2TeRh
1.0
7.223 0.000 0.000
0.000 7.223 0.000
0.000 0.000 5.157
Cu Te Rh
8 4 4
direct
0.246 0.250 0.125
0.250 0.746 0.375
0.250 0.754 0.875
0.254 0.250 0.625
0.746 0.750 0.625
0.750 0.246 0.875
0.750 0.254 0.375
0.754 0.750 0.125
0.000 0.000 0.500
0.000 0.500 0.750
0.500 0.000 0.250
0.500 0.500 0.000
0.000 0.000 0.000
0.000 0.500 0.250
0.500 0.000 0.750
0.500 0.500 0.500
```

Results
Formation energy from raw total energies = 249 meV/atom
Theoretical density = 8.8 g cm⁻³
Size of the total moment = 0.00 μB per cell
Calculated total energy = -70.76 eV for the cell shown


# 12
A geometry-optimized Cs2TmPaSe4 structure. Source: Alexandria via LeMat-Bulk, functional GGA-PBE.

```
Cs2TmPaSe4
1.0
7.352 0.000 0.000
0.000 4.202 0.000
-2.401 0.000 8.443
Cs Tm Pa Se
2 1 1 4
direct
0.000 0.000 0.000
0.500 0.500 0.000
0.000 0.500 0.500
0.500 0.000 0.500
0.225 0.000 0.685
0.265 0.500 0.311
0.735 0.500 0.689
0.775 0.000 0.315
```

Results
Formation energy from raw total energies = -1475 meV/atom
Theoretical density = 6.2 g cm⁻³
Size of the total moment = 1.88 μB per cell
Calculated total energy = -41.41 eV for the cell shown